1.
Ba2TaAg (GGA-PBE, relaxed); polymorph energy (0 for the lowest one) = 166.0 kJ/mol of formula units
1.0
-6.546 -1.951 -5.949
6.168 -0.528 -6.613
0.214 -4.543 -5.642
Ba Ta Ag
4 2 2
direct
0.375 0.392 0.750
0.608 0.125 0.250
0.875 0.858 0.750
0.142 0.625 0.250
0.750 0.250 0.500
0.000 0.000 0.000
0.250 0.750 0.500
0.500 0.500 0.000

=====

2.
BaTaAg (GGA-PBE, relaxed); polymorph energy (0 for the lowest one) = 29.9 kJ/mol of formula units
1.0
3.476 0.000 -0.002
0.000 10.448 -0.031
0.003 1.033 4.502
Ag Ba Ta
2 2 2
direct
0.124 0.847 0.754
0.124 0.415 0.971
0.624 0.276 0.541
0.625 0.986 0.185
0.125 0.631 0.363
0.625 0.631 0.863

=====

3.
BaTa2Ag (GGA-PBE, relaxed); polymorph energy (0 for the lowest one) = 25.3 kJ/mol of formula units
1.0
3.074 -0.003 0.000
-0.924 2.932 0.000
0.000 0.000 10.235
Ta Ag Ba
2 1 1
direct
0.500 0.500 0.244
0.000 0.000 0.047
0.000 0.000 0.462
0.500 0.500 0.747

=====

4.
BaTaAg (GGA-PBE, relaxed); polymorph energy (0 for the lowest one) = 26.1 kJ/mol of formula units
1.0
-2.190 2.552 2.625
-8.501 -8.004 0.688
1.660 -1.512 2.854
Ta Ba Ag
2 2 2
direct
0.589 0.609 0.458
0.089 0.653 0.959
0.089 0.965 0.460
0.589 0.297 0.957
0.589 0.812 0.959
0.089 0.450 0.458

=====

5.
BaTaAg (GGA-PBE, relaxed); polymorph energy (0 for the lowest one) = 70.4 kJ/mol of formula units
1.0
-5.538 -8.113 4.130
2.899 -1.637 0.673
0.348 4.204 8.723
Ag Ba Ta
4 4 4
direct
0.415 0.250 0.764
0.915 0.250 0.736
0.085 0.750 0.264
0.585 0.750 0.236
0.813 0.250 0.411
0.313 0.250 0.089
0.687 0.750 0.911
0.187 0.750 0.589
0.948 0.250 0.085
0.448 0.250 0.415
0.052 0.750 0.915
0.552 0.750 0.585

=====

6.
BaTa3Ag (GGA-PBE, relaxed); polymorph energy (0 for the lowest one) = 509.9 kJ/mol of formula units
1.0
-0.690 -2.000 -4.591
2.170 -4.296 1.545
-4.513 -1.760 1.445
Ag Ta Ba
1 3 1
direct
0.500 0.500 0.500
0.000 0.500 0.000
0.000 0.000 0.500
0.500 0.000 0.000
0.000 0.000 0.000

=====

7.
BaTaAg (GGA-PBE, relaxed); polymorph energy (0 for the lowest one) = 30.1 kJ/mol of formula units
1.0
-0.252 -1.170 -3.341
-0.880 -10.130 5.508
-4.259 1.278 -0.128
Ta Ba Ag
2 2 2
direct
0.993 0.631 0.493
0.493 0.631 0.994
0.163 0.969 0.163
0.824 0.294 0.825
0.396 0.437 0.397
0.591 0.825 0.592

=====

8.
BaTaAg2 (GGA-PBE, relaxed); polymorph energy (0 for the lowest one) = 98.7 kJ/mol of formula units
1.0
6.420 0.001 0.002
3.341 5.482 -0.002
-4.077 -4.173 2.680
Ta Ba Ag
1 1 2
direct
0.222 0.722 0.500
0.504 0.504 0.000
0.776 0.276 0.500
0.998 0.998 0.000

=====

9.
Ba2TaAg (GGA-PBE, relaxed); polymorph energy (0 for the lowest one) = 83.6 kJ/mol of formula units
1.0
3.546 -0.074 0.065
1.873 3.012 0.065
1.488 0.807 11.264
Ba Ag Ta
2 1 1
direct
0.999 0.999 0.001
0.501 0.501 0.499
0.750 0.750 0.750
0.250 0.250 0.250

=====

10.
BaTaAg (GGA-PBE, relaxed); polymorph energy (0 for the lowest one) = 282.6 kJ/mol of formula units
1.0
-0.237 -1.087 5.060
-3.740 -3.093 1.813
1.164 -4.759 1.685
Ag Ba Ta
1 1 1
direct
0.750 0.750 0.750
0.000 0.000 0.000
0.500 0.500 0.500

=====

11.
BaTaAg2 (GGA-PBE, relaxed); polymorph energy (0 for the lowest one) = 77.0 kJ/mol of formula units
1.0
-2.400 2.331 3.812
-4.535 1.412 1.776
-1.134 -5.573 3.704
Ag Ta Ba
2 1 1
direct
0.003 0.003 0.021
0.738 0.738 0.812
0.263 0.263 0.154
0.497 0.497 0.513

=====

12.
BaTa2Ag (GGA-PBE, relaxed); polymorph energy (0 for the lowest one) = 336.4 kJ/mol of formula units
1.0
5.228 0.000 0.000
0.000 5.228 0.000
0.000 0.000 3.156
Ag Ba Ta
1 1 2
direct
0.500 0.000 0.500
0.000 0.500 0.500
0.000 0.000 0.000
0.500 0.500 0.000

=====

13.
BaTaAg2 (GGA-PBE, relaxed); polymorph energy (0 for the lowest one) = 59.6 kJ/mol of formula units
1.0
4.933 -0.002 -0.002
3.944 2.963 -0.002
1.002 0.334 6.980
Ta Ba Ag
1 1 2
direct
0.250 0.250 0.250
0.750 0.750 0.750
0.992 0.992 0.080
0.508 0.508 0.420

=====

14.
Ba4TaAg: relaxed, GGA-PBE.

```
Ba4TaAg
1.0
0.000 5.017 5.017
5.017 0.000 5.017
5.017 5.017 0.000
Ta Ba Ag
1 4 1
direct
0.750 0.750 0.750
0.874 0.375 0.375
0.375 0.874 0.375
0.375 0.375 0.375
0.375 0.375 0.874
0.000 0.000 0.000
```

=====

15.
Ba2TaAg (GGA-PBE, relaxed); polymorph energy (0 for the lowest one) = 96.9 kJ/mol of formula units
1.0
0.000 4.127 4.127
4.127 0.000 4.127
4.127 4.127 0.000
Ba Ta Ag
2 1 1
direct
0.750 0.750 0.750
0.250 0.250 0.250
0.500 0.500 0.500
0.000 0.000 0.000

=====

The calculation returns the following E_form values, one per record and in order: 1.052; 0.433; 0.564; 0.420; 0.573; 2.960; 0.434; 0.682; 0.838; 1.306; 0.626; 1.371; 0.581; 1.148; 0.872 eV/atom.